Cs2CoSiO4 | OQMD via LeMat-Bulk | GGA+U | relaxed; calculated total energy = -5.99 eV per atom; M_tot = 0.3748 μB/atom
1.0
-2.917 -6.150 0.000
5.834 0.000 0.000
0.000 0.000 8.124
Co O Cs Si
2 8 4 2
Direct
0.410 0.205 0.307 Co
0.590 0.795 0.807 Co
0.714 0.357 0.209 O
0.312 0.427 0.420 O
0.286 0.643 0.709 O
0.658 0.829 0.561 O
0.312 0.885 0.420 O
0.688 0.115 0.920 O
0.688 0.573 0.920 O
0.342 0.171 0.061 O
0.854 0.927 0.228 Cs
0.184 0.592 0.080 Cs
0.146 0.073 0.728 Cs
0.816 0.408 0.580 Cs
0.393 0.697 0.521 Si
0.607 0.303 0.021 Si